1.
{"formula": "CsKTl2F4", "functional": "GGA-PBE", "state": "optimized geometry", "lattice_angstrom": [[7.0197, 0.0000, 0.0000], [0.0000, 4.0471, 0.0000], [-2.3314, 0.0000, 6.6452]], "species": ["Cs", "K", "Tl", "Tl", "F", "F", "F", "F"], "frac_coords": [[0.0000, 0.0000, 0.0000], [0.5000, 0.5000, 0.0000], [0.0000, 0.5000, 0.5000], [0.5000, 0.0000, 0.5000], [0.2631, 0.0000, 0.7533], [0.2675, 0.5000, 0.2556], [0.7325, 0.5000, 0.7444], [0.7369, 0.0000, 0.2467]], "total_magnetization_mub_per_fu": 0.00, "dft_energy_ev_per_fu": -31.7, "formation_energy_uncorrected_ev_per_fu": -17.51}

---

2.
{"formula": "Cs3K2TlF6", "functional": "GGA-PBE", "state": "optimized geometry", "lattice_angstrom": [[8.9526, -2.0499, 0.0000], [8.9526, 2.0499, 0.0000], [-1.9287, 0.0000, 8.0058]], "species": ["Cs", "Cs", "Cs", "K", "K", "Tl", "F", "F", "F", "F", "F", "F"], "frac_coords": [[0.0000, 0.0000, 0.0000], [0.3340, 0.3340, 0.6673], [0.6660, 0.6660, 0.3327], [0.3320, 0.3320, 0.1643], [0.6680, 0.6680, 0.8357], [0.0000, 0.0000, 0.5000], [0.1641, 0.1641, 0.6017], [0.1730, 0.1730, 0.0693], [0.4918, 0.4918, 0.2567], [0.5082, 0.5082, 0.7433], [0.8270, 0.8270, 0.9307], [0.8359, 0.8359, 0.3983]], "total_magnetization_mub_per_fu": 0.00, "dft_energy_ev_per_fu": -48.4, "formation_energy_uncorrected_ev_per_fu": -30.07}

---

3.
{"formula": "CsK2TlF6", "functional": "GGA-PBE", "state": "optimized geometry", "lattice_angstrom": [[3.3352, 1.9256, 5.7779], [-3.3352, 1.9256, 5.7779], [0.0000, -3.8511, 5.7779]], "species": ["Cs", "K", "K", "Tl", "F", "F", "F", "F", "F", "F"], "frac_coords": [[0.0000, 0.0000, 0.0000], [0.2729, 0.2729, 0.2729], [0.7840, 0.7840, 0.7840], [0.4821, 0.4821, 0.4821], [0.1358, 0.6471, 0.4181], [0.2510, 0.5687, 0.8205], [0.4181, 0.1358, 0.6471], [0.5687, 0.8205, 0.2510], [0.6471, 0.4181, 0.1358], [0.8205, 0.2510, 0.5687]], "total_magnetization_mub_per_fu": 0.00, "dft_energy_ev_per_fu": -41.2, "polymorph_energy_mev_per_atom": 0, "formation_energy_uncorrected_ev_per_fu": -24.55}

---

4.
{"formula": "Cs3KTl2F9", "functional": "GGA-PBE", "state": "optimized geometry", "lattice_angstrom": [[6.7477, 0.0000, 0.0000], [-3.3739, 5.8437, 0.0000], [0.0000, 0.0000, 8.2843]], "species": ["Cs", "Cs", "Cs", "K", "Tl", "Tl", "F", "F", "F", "F", "F", "F", "F", "F", "F"], "frac_coords": [[0.0000, 0.0000, 0.0000], [0.3333, 0.6667, 0.6523], [0.6667, 0.3333, 0.3477], [0.0000, 0.0000, 0.5000], [0.3333, 0.6667, 0.1582], [0.6667, 0.3333, 0.8418], [0.0000, 0.5000, 0.0000], [0.1775, 0.3550, 0.3155], [0.1775, 0.8225, 0.3155], [0.3550, 0.1775, 0.6845], [0.5000, 0.0000, 0.0000], [0.5000, 0.5000, 0.0000], [0.6450, 0.8225, 0.3155], [0.8225, 0.1775, 0.6845], [0.8225, 0.6450, 0.6845]], "total_magnetization_mub_per_fu": 0.00, "dft_energy_ev_per_fu": -60.7, "formation_energy_uncorrected_ev_per_fu": -35.47}

---

5.
{"formula": "CsK2TlF4", "functional": "GGA-PBE", "state": "optimized geometry", "lattice_angstrom": [[1.9872, -7.5439, 0.0000], [1.9872, 7.5439, 0.0000], [0.0000, 0.0000, 12.0308]], "species": ["Cs", "Cs", "K", "K", "K", "K", "Tl", "Tl", "F", "F", "F", "F", "F", "F", "F", "F"], "frac_coords": [[0.2277, 0.7723, 0.7500], [0.7723, 0.2277, 0.2500], [0.3759, 0.6241, 0.0137], [0.3759, 0.6241, 0.4863], [0.6241, 0.3759, 0.5137], [0.6241, 0.3759, 0.9863], [0.0380, 0.9620, 0.2500], [0.9620, 0.0380, 0.7500], [0.0000, 0.0000, 0.0000], [0.0000, 0.0000, 0.5000], [0.2004, 0.7996, 0.0999], [0.2004, 0.7996, 0.4001], [0.4265, 0.5735, 0.2500], [0.5735, 0.4265, 0.7500], [0.7996, 0.2004, 0.5999], [0.7996, 0.2004, 0.9001]], "total_magnetization_mub_per_fu": 0.00, "dft_energy_ev_per_fu": -32.1, "formation_energy_uncorrected_ev_per_fu": -19.21}

---

6.
{"formula": "Cs3K2TmF9", "functional": "GGA-PBE", "state": "optimized geometry", "lattice_angstrom": [[6.7993, 0.0000, 0.0000], [-3.3997, 5.8884, 0.0000], [0.0000, 0.0000, 8.5282]], "species": ["Cs", "Cs", "Cs", "K", "K", "Tm", "F", "F", "F", "F", "F", "F", "F", "F", "F"], "frac_coords": [[0.0000, 0.0000, 0.0000], [0.3333, 0.6667, 0.6941], [0.6667, 0.3333, 0.3059], [0.3333, 0.6667, 0.1973], [0.6667, 0.3333, 0.8027], [0.0000, 0.0000, 0.5000], [0.0000, 0.5000, 0.0000], [0.1478, 0.2957, 0.3531], [0.1478, 0.8522, 0.3531], [0.2957, 0.1478, 0.6469], [0.5000, 0.0000, 0.0000], [0.5000, 0.5000, 0.0000], [0.7043, 0.8522, 0.3531], [0.8522, 0.1478, 0.6469], [0.8522, 0.7043, 0.6469]], "total_magnetization_mub_per_fu": 1.31, "dft_energy_ev_per_fu": -70.5, "formation_energy_uncorrected_ev_per_fu": -44.39}

---

Short version: theoretical density = 5.777, 4.494, 3.949, 5.173, 4.525, 3.972 g cm⁻³, in the order given.